Ba2Na2Sr7 | PBE | relaxed

ΔE to the lowest computed polymorph	0.021	eV/atom
raw total energy	-1.582	eV/atom
crystal system	monoclinic
energy relative to the elements	0.078	eV per atom
V	1217.5	Å³/cell

Cell lengths 13.5989, 13.4000, 7.4828 Å; angles 90.00, 116.76, 90.00 degrees
With the nearest neighbours (Å) after each atom.
Space group C2/m (No. 12)
Symmetry-distinct sites (fractional):
Ba 0.0000 0.1793 0.0000 x4  8 Sr 4.14-4.62, 2 Na 4.17
Na 0.2396 0.5000 0.9585 x4  8 Sr 3.84-4.29, 2 Ba 4.17
Sr 0.0000 0.0000 0.5000 x2  4 Sr 3.95, 2 Na 4.00
Sr 0.1003 0.5000 0.3173 x4  3 Na 3.92-4.29, 3 Sr 4.12-4.28
Sr 0.1695 0.2508 0.6762 x8  2 Na 3.84-4.15, 4 Sr 3.95-4.16, 2 Ba 4.14

---

Ba2NaSr7 | PBE | relaxed

ΔE to the lowest computed polymorph	0.085	eV/atom
raw total energy	-1.259	eV/atom
crystal system	orthorhombic
energy relative to the elements	0.434	eV per atom
V	1503.5	Å³/cell

Cell lengths 10.8590, 21.7729, 6.3591 Å; angles 90.00, 90.00, 90.00 degrees
With the nearest neighbours (Å) after each atom.
Space group Cmmm (No. 65)
Symmetry-distinct sites (fractional):
Ba 0.0000 0.2093 0.0000 x4  4 Sr 4.02-4.27
Na 0.0000 0.5000 0.5000 x2  10 Sr 3.86-4.27
Sr 0.0000 0.0000 0.0000 x2  4 Sr 4.07, 2 Ba 4.56
Sr 0.0000 0.3226 0.5000 x4  1 Na 3.86, 2 Ba 4.02, 4 Sr 4.12
Sr 0.1784 0.4038 0.0000 x8  5 Sr 3.87-4.19, 2 Na 4.27, 1 Ba 4.27

---

Ba4Na2Sr | PBE | relaxed

ΔE to the lowest computed polymorph	0.000	eV/atom
raw total energy	-1.662	eV/atom
crystal system	monoclinic
energy relative to the elements	0.054	eV per atom
V	772.3	Å³/cell

Cell lengths 11.7800, 6.8273, 10.4572 Å; angles 90.00, 113.32, 90.00 degrees
With the nearest neighbours (Å) after each atom.
Space group C2/m (No. 12)
Symmetry-distinct sites (fractional):
Ba 0.0660 0.0000 0.2097 x4  5 Ba 4.03-4.25, 3 Na 4.14-4.17
Ba 0.2196 0.0000 0.6520 x4  1 Na 4.05, 4 Ba 4.15-4.25, 3 Sr 4.19-4.20
Na 0.1460 0.5000 0.9264 x4  4 Ba 4.05-4.17, 1 Sr 4.10, 3 Na 4.13-4.29
Sr 0.0000 0.5000 0.5000 x2  2 Na 4.10, 6 Ba 4.19-4.20

---

Ba8NaSr2 | PBE | relaxed

ΔE to the lowest computed polymorph	0.076	eV/atom
raw total energy	-1.730	eV/atom
crystal system	monoclinic
energy relative to the elements	0.094	eV per atom
V	1369.5	Å³/cell

Cell lengths 22.4369, 8.0992, 7.9515 Å; angles 90.00, 108.60, 90.00 degrees
With the nearest neighbours (Å) after each atom.
Space group C2/m (No. 12)
Symmetry-distinct sites (fractional):
Ba 0.0864 0.0000 0.4345 x4  1 Sr 4.13, 7 Ba 4.32-4.58, 2 Na 4.59
Ba 0.0863 0.2501 0.9516 x8  1 Na 4.04, 4 Ba 4.05-4.34, 2 Sr 4.18-4.20
Ba 0.1965 0.5000 0.5665 x4  2 Sr 4.12-4.25, 1 Na 4.27
Na 0.0000 0.5000 0.5000 x2  6 Ba 4.04-4.27
Sr 0.2416 0.0000 0.8864 x4  7 Ba 4.12-4.25, 2 Sr 4.40

---

BaNa3Sr | PBE | relaxed

ΔE to the lowest computed polymorph	0.318	eV/atom
raw total energy	-1.129	eV/atom
crystal system	cubic
energy relative to the elements	0.384	eV per atom
V	286.6	Å³/cell

Cell lengths 6.5933, 6.5933, 6.5933 Å; angles 90.00, 90.00, 90.00 degrees
With the nearest neighbours (Å) after each atom.
Space group Pm-3m (No. 221)
Symmetry-distinct sites (fractional):
Ba 0.0000 0.0000 0.0000 x1  12 Na 4.66
Na 0.0000 0.5000 0.5000 x3  2 Sr 3.30
Sr 0.5000 0.5000 0.5000 x1  6 Na 3.30

---

Ba4Na2Sr | PBE | relaxed

ΔE to the lowest computed polymorph	0.093	eV/atom
raw total energy	-1.568	eV/atom
crystal system	trigonal
energy relative to the elements	0.147	eV per atom
V	1285.0	Å³/cell

Cell lengths 6.8426, 6.8426, 31.6908 Å; angles 90.00, 90.00, 120.00 degrees
With the nearest neighbours (Å) after each atom.
Space group R-3m (No. 166, hexagonal axes)
Symmetry-distinct sites (fractional):
Ba 0.0000 0.0000 0.1218 x6  3 Sr 4.20, 4 Ba 4.26-4.43, 3 Na 4.55
Ba 0.0000 0.0000 0.2617 x6  4 Na 3.88-4.01, 3 Ba 4.26
Na 0.0000 0.0000 0.3841 x6  1 Sr 3.67, 4 Ba 3.88-4.01
Sr 0.0000 0.0000 0.5000 x3  2 Na 3.67